<a>
Density functional theory data (SCAN) for a crystal of YW2Br relaxed with PBEsol.

a b c (Å): 3.662 3.662 5.698
angles (deg): 90.00 90.00 90.00
Positions (direct):
Y: 0.500 0.500 0.000
W: 0.000 0.000 0.279
W: 0.000 0.000 0.721
Br: 0.500 0.500 0.500

Computed properties:
Space-group type: P4/mmm (123)
Crystal system: tetragonal

<b>
Density functional theory data (SCAN) for a crystal of YW2Br relaxed with PBEsol.

a b c (Å): 3.413 5.320 5.459
angles (deg): 119.16 108.22 90.00
Positions (direct):
W: 0.008 0.008 0.017
W: 0.708 0.208 0.417
Br: 0.275 0.775 0.550
Y: 0.508 0.508 0.017

Computed properties:
Space-group type: Imm2 (44)
Crystal system: orthorhombic

Stability summary - winner: <b>; margin: 0.635 eV/atom.